Entry from the Open Quantum Materials Database: a geometry-optimized HfUPd structure (PBE).

Calculated values
**Spin magnetization**: 2.39 Bohr magnetons per cell
**Energy relative to the elements**: 0.723 eV per atom

```
3
Lattice="-2.4452 -3.8803 -0.4674 -3.2972 -0.2743 -3.2105 0.6073 -2.6751 -3.7052" Properties=species:S:1:pos:R:3 pbc="T T T"
Hf -3.8513 -5.1222 -5.5373
Pd -1.2838 -1.7074 -1.8458
U 0.0000 0.0000 0.0000
```

---

Entry from the Open Quantum Materials Database: a geometry-optimized PaCdGa structure (PBE).

Calculated values
**Spin magnetization**: 1.35 Bohr magnetons per cell
**E_tot**: -4.28 eV/atom

```
3
Lattice="0.0000 3.3619 3.3619 3.3619 0.0000 3.3619 3.3619 3.3619 0.0000" Properties=species:S:1:pos:R:3 pbc="T T T"
Cd 1.6810 1.6810 1.6810
Ga 0.0000 0.0000 0.0000
Pa 5.0429 5.0429 5.0429
```

---

Q: Among the records above, which one has the highest spin magnetization?
A: HfUPd